# Sr2Y2Cl PBE-GGA relaxed
# N(E_F) (states/eV/atom): 0.6698
# Uncorrected formation energy (eV/atom): -0.258
# Spin magnetization (μB per cell): 0.0
# Energy (eV per atom): -3.8852
# Distance to the lowest polymorph of the same formula (eV/atom): 0.040
data_Sr2Y2Cl
_space_group_name_H-M_alt 'P 1'
_space_group_IT_number 1
_cell_length_a 11.0534
_cell_length_b 11.0534
_cell_length_c 11.0534
_cell_angle_alpha 157.35
_cell_angle_beta 157.35
_cell_angle_gamma 32.24
loop_
_space_group_symop_operation_xyz
'x,y,z'
loop_
_atom_site_label
_atom_site_fract_x
_atom_site_fract_y
_atom_site_fract_z
Sr1 0.0990 0.0990 0.0000
Sr2 0.9010 0.9010 0.0000
Y1 0.2500 0.7500 0.5000
Y2 0.7500 0.2500 0.5000
Cl1 0.5000 0.5000 0.0000


# SrY2Cl PBE-GGA relaxed
# N(E_F) (states/eV/atom): 1.5058
# Uncorrected formation energy (eV/atom): 0.196
# Spin magnetization (μB per cell): 0.0
# Energy (eV per atom): -3.9177
# Distance to the lowest polymorph of the same formula (eV/atom): 0.851
data_SrY2Cl
_space_group_name_H-M_alt 'P 1'
_space_group_IT_number 1
_cell_length_a 5.7697
_cell_length_b 5.7697
_cell_length_c 5.7697
_cell_angle_alpha 60.00
_cell_angle_beta 60.00
_cell_angle_gamma 60.00
loop_
_space_group_symop_operation_xyz
'x,y,z'
loop_
_atom_site_label
_atom_site_fract_x
_atom_site_fract_y
_atom_site_fract_z
Sr1 0.0000 0.0000 0.0000
Y1 0.2500 0.2500 0.2500
Y2 0.7500 0.7500 0.7500
Cl1 0.5000 0.5000 0.5000


# Sr2Y2Cl PBE-GGA relaxed
# N(E_F) (states/eV/atom): 1.3434
# Uncorrected formation energy (eV/atom): -0.297
# Spin magnetization (μB per cell): 0.0
# Energy (eV per atom): -3.9248
# Distance to the lowest polymorph of the same formula (eV/atom): 0.000
data_Sr2Y2Cl
_space_group_name_H-M_alt 'P 1'
_space_group_IT_number 1
_cell_length_a 7.5681
_cell_length_b 7.5681
_cell_length_c 6.6865
_cell_angle_alpha 90.00
_cell_angle_beta 90.00
_cell_angle_gamma 90.00
loop_
_space_group_symop_operation_xyz
'x,y,z'
loop_
_atom_site_label
_atom_site_fract_x
_atom_site_fract_y
_atom_site_fract_z
Sr1 0.1652 0.3348 0.0000
Sr2 0.3348 0.8348 0.0000
Sr3 0.6652 0.1652 0.0000
Sr4 0.8348 0.6652 0.0000
Y1 0.1593 0.6593 0.5000
Y2 0.3407 0.1593 0.5000
Y3 0.6593 0.8407 0.5000
Y4 0.8407 0.3407 0.5000
Cl1 0.0000 0.0000 0.5000
Cl2 0.5000 0.5000 0.5000


# SrY2Cl PBE-GGA relaxed
# N(E_F) (states/eV/atom): 0.9615
# Uncorrected formation energy (eV/atom): -0.133
# Spin magnetization (μB per cell): 0.0
# Energy (eV per atom): -4.2472
# Distance to the lowest polymorph of the same formula (eV/atom): 0.522
data_SrY2Cl
_space_group_name_H-M_alt 'P 1'
_space_group_IT_number 1
_cell_length_a 3.6059
_cell_length_b 6.1940
_cell_length_c 6.4448
_cell_angle_alpha 90.00
_cell_angle_beta 90.00
_cell_angle_gamma 90.00
loop_
_space_group_symop_operation_xyz
'x,y,z'
loop_
_atom_site_label
_atom_site_fract_x
_atom_site_fract_y
_atom_site_fract_z
Sr1 0.0000 0.0000 0.0000
Y1 0.5000 0.2418 0.5000
Y2 0.5000 0.7582 0.5000
Cl1 0.0000 0.5000 0.0000


# SrY2Cl PBE-GGA relaxed
# N(E_F) (states/eV/atom): 1.5485
# Uncorrected formation energy (eV/atom): 0.116
# Spin magnetization (μB per cell): 0.5
# Energy (eV per atom): -3.9983
# Distance to the lowest polymorph of the same formula (eV/atom): 0.771
data_SrY2Cl
_space_group_name_H-M_alt 'P 1'
_space_group_IT_number 1
_cell_length_a 5.8206
_cell_length_b 5.8206
_cell_length_c 5.8206
_cell_angle_alpha 60.00
_cell_angle_beta 60.00
_cell_angle_gamma 60.00
loop_
_space_group_symop_operation_xyz
'x,y,z'
loop_
_atom_site_label
_atom_site_fract_x
_atom_site_fract_y
_atom_site_fract_z
Sr1 0.0000 0.0000 0.0000
Y1 0.2500 0.2500 0.2500
Y2 0.5000 0.5000 0.5000
Cl1 0.7500 0.7500 0.7500


# SrY2Cl PBE-GGA relaxed
# N(E_F) (states/eV/atom): 1.1858
# Uncorrected formation energy (eV/atom): -0.008
# Spin magnetization (μB per cell): 0.0
# Energy (eV per atom): -4.1220
# Distance to the lowest polymorph of the same formula (eV/atom): 0.647
data_SrY2Cl
_space_group_name_H-M_alt 'P 1'
_space_group_IT_number 1
_cell_length_a 5.9486
_cell_length_b 5.9486
_cell_length_c 3.7743
_cell_angle_alpha 90.00
_cell_angle_beta 90.00
_cell_angle_gamma 90.00
loop_
_space_group_symop_operation_xyz
'x,y,z'
loop_
_atom_site_label
_atom_site_fract_x
_atom_site_fract_y
_atom_site_fract_z
Sr1 0.0000 0.0000 0.0000
Y1 0.0000 0.5000 0.5000
Y2 0.5000 0.0000 0.5000
Cl1 0.5000 0.5000 0.0000